(1)
Crystalline LiMg4Rh at its relaxed geometry. Source: the Alexandria database, functional GGA-PBE.

Properties
The value obtained for the total energy is -2.8538 eV/atom. The distance to the lowest polymorph of the same formula is 0 meV per atom. The energy of formation comes out at -246.6 meV/atom.

Geometry as CIF:
```
data_LiMg4Rh
_symmetry_space_group_name_H-M 'P -1'
_symmetry_Int_Tables_number 2
_symmetry_space_group_name_Hall '-P 1'
_cell_length_a 3.2281
_cell_length_b 5.7091
_cell_length_c 6.7015
_cell_angle_alpha 107.36
_cell_angle_beta 90.21
_cell_angle_gamma 106.27
loop_
_atom_site_label
_atom_site_type_symbol
_atom_site_fract_x
_atom_site_fract_y
_atom_site_fract_z
Li1 Li 0.0000 0.0000 0.0000
Mg1 Mg 0.3454 0.6920 0.1936
Mg2 Mg 0.3559 0.7122 0.6572
Rh1 Rh 0.0000 0.0000 0.5000
```



(2)
Crystalline ZrSiAu at its relaxed geometry. Source: the Alexandria database, functional GGA-PBE.

Properties
The value obtained for the total energy is -6.3647 eV/atom.

Geometry as CIF:
```
data_ZrSiAu
_symmetry_space_group_name_H-M 'C m c m'
_symmetry_Int_Tables_number 63
_symmetry_space_group_name_Hall '-C 2c 2'
_cell_length_a 3.7084
_cell_length_b 15.2966
_cell_length_c 3.7734
_cell_angle_alpha 90.00
_cell_angle_beta 90.00
_cell_angle_gamma 90.00
loop_
_atom_site_label
_atom_site_type_symbol
_atom_site_fract_x
_atom_site_fract_y
_atom_site_fract_z
Zr1 Zr 0.0000 0.0947 0.2500
Si1 Si 0.0000 0.4538 0.2500
Au1 Au 0.0000 0.2896 0.2500
```



(3)
Crystalline AcTa2AgO7 at its relaxed geometry. Source: the Alexandria database, functional GGA-PBE.

Properties
The value obtained for the total energy is -8.5030 eV/atom.

Geometry as CIF:
```
data_AcTa2AgO7
_symmetry_space_group_name_H-M 'P 4/m m m'
_symmetry_Int_Tables_number 123
_symmetry_space_group_name_Hall '-P 4 2'
_cell_length_a 3.8824
_cell_length_b 3.8824
_cell_length_c 11.2808
_cell_angle_alpha 90.00
_cell_angle_beta 90.00
_cell_angle_gamma 90.00
loop_
_atom_site_label
_atom_site_type_symbol
_atom_site_fract_x
_atom_site_fract_y
_atom_site_fract_z
Ac1 Ac 0.0000 0.0000 0.0000
Ta1 Ta 0.5000 0.5000 0.2152
Ag1 Ag 0.0000 0.0000 0.5000
O1 O 0.0000 0.5000 0.1753
O2 O 0.5000 0.5000 0.0000
O3 O 0.5000 0.5000 0.3753
```



(4)
Crystalline Zr2TiTlRe at its relaxed geometry. Source: the Alexandria database, functional GGA-PBE.

Properties
The value obtained for the total energy is -6.0631 eV/atom. The energy of formation comes out at 1898.0 meV/atom.

Geometry as CIF:
```
data_Zr2TiTlRe
_symmetry_space_group_name_H-M 'P 4/m m m'
_symmetry_Int_Tables_number 123
_symmetry_space_group_name_Hall '-P 4 2'
_cell_length_a 5.2207
_cell_length_b 5.2207
_cell_length_c 4.8106
_cell_angle_alpha 90.00
_cell_angle_beta 90.00
_cell_angle_gamma 90.00
loop_
_atom_site_label
_atom_site_type_symbol
_atom_site_fract_x
_atom_site_fract_y
_atom_site_fract_z
Zr1 Zr 0.0000 0.5000 0.0000
Ti1 Ti 0.0000 0.0000 0.5000
Tl1 Tl 0.0000 0.0000 0.0000
Re1 Re 0.5000 0.5000 0.5000
```



(5)
Crystalline CdNiBi2H at its relaxed geometry. Source: the Alexandria database, functional GGA-PBE.

Properties
The value obtained for the total energy is -3.4169 eV/atom.

Geometry as CIF:
```
data_CdNiBi2H
_symmetry_space_group_name_H-M 'P 4/m m m'
_symmetry_Int_Tables_number 123
_symmetry_space_group_name_Hall '-P 4 2'
_cell_length_a 5.4914
_cell_length_b 5.4914
_cell_length_c 3.3521
_cell_angle_alpha 90.00
_cell_angle_beta 90.00
_cell_angle_gamma 90.00
loop_
_atom_site_label
_atom_site_type_symbol
_atom_site_fract_x
_atom_site_fract_y
_atom_site_fract_z
Cd1 Cd 0.0000 0.0000 0.0000
Ni1 Ni 0.5000 0.5000 0.5000
Bi1 Bi 0.0000 0.5000 0.5000
H1 H 0.5000 0.5000 0.0000
```



(6)
Crystalline Ce2MnCo12B3 at its relaxed geometry. Source: the Alexandria database, functional GGA-PBE.

Properties
The value obtained for the total energy is -6.9060 eV/atom. The energy of formation comes out at 112.9 meV/atom.

Geometry as CIF:
```
data_Ce2MnCo12B3
_symmetry_space_group_name_H-M 'R -3 m'
_symmetry_Int_Tables_number 166
_symmetry_space_group_name_Hall '-R 3 2"'
_cell_length_a 7.0720
_cell_length_b 7.0720
_cell_length_c 15.2746
_cell_angle_alpha 90.00
_cell_angle_beta 90.00
_cell_angle_gamma 120.00
loop_
_atom_site_label
_atom_site_type_symbol
_atom_site_fract_x
_atom_site_fract_y
_atom_site_fract_z
Ce1 Ce 0.0000 0.0000 0.1014
Mn1 Mn 0.0000 0.0000 0.5000
Co1 Co 0.0523 0.5262 0.8735
Co2 Co 0.0735 0.5367 0.3019
B1 B 0.0000 0.5000 0.0000
```



Table of size of the total moment (μB/cell), in record order: 0.000; 0.000; 0.000; 0.000; 0.000; 28.524
Table of calculated density (Mg/m³), in record order: 3.053; 9.814; 7.898; 7.864; 9.693; 8.093
Table of DOS at the Fermi energy (states/eV/cell), in record order: 2.57; 5.54; 0.00; 6.20; 3.45; 69.84